Density functional theory data (PBE) for crystalline SbAs2 at its relaxed geometry.

Calculated values
- raw total energy (eV per atom) = -4.188
- offset from the most stable computed form (meV/atom) = 259
- space-group type = Pnma
- magnetization (μB per formula unit) = 0.0

Unit cell a=5.7708 b=6.2196 c=9.4690 alpha=90.00 beta=90.00 gamma=90.00
Closest atoms and distances in Å follow each position.
Fractional coordinates of all 12 atoms:
As  0.2500  0.2869  0.4508  1 As 2.44
As  0.7500  0.9980  0.1658  1 As 2.44, 1 Sb 2.62
Sb  0.7500  0.2673  0.5661  2 As 2.62-2.78
As  0.7500  0.7131  0.5492  1 As 2.44
Sb  0.2500  0.7327  0.4339  2 As 2.62-2.78
Sb  0.2500  0.2327  0.0661  2 As 2.62-2.78
As  0.2500  0.5020  0.6658  1 As 2.44, 1 Sb 2.62
As  0.2500  0.7869  0.0492  1 As 2.44
Sb  0.7500  0.7673  0.9339  2 As 2.62-2.78
As  0.7500  0.2131  0.9508  1 As 2.44
As  0.7500  0.4980  0.3342  1 As 2.44, 1 Sb 2.62
As  0.2500  0.0020  0.8342  1 As 2.44, 1 Sb 2.62